Record 1
Here is a geometry-optimized Pm4Dy2Sc structure from Alexandria via LeMat-Bulk. Energies are from PBE.

Cell: 5.317 11.138 15.461 Å, 90.00 90.00 90.00°
Sites, in units of the cell vectors:
Pm: 0.000 0.411 0.191
Pm: 0.500 0.301 0.070
Pm: 0.500 0.411 0.309
Pm: 0.500 0.801 0.430
Pm: 0.000 0.801 0.070
Pm: 0.000 0.589 0.809
Pm: 0.500 0.089 0.809
Pm: 0.500 0.911 0.191
Pm: 0.500 0.199 0.570
Pm: 0.000 0.199 0.930
Pm: 0.500 0.589 0.691
Pm: 0.000 0.301 0.430
Pm: 0.000 0.089 0.691
Pm: 0.000 0.911 0.309
Pm: 0.500 0.699 0.930
Pm: 0.000 0.699 0.570
Dy: 0.500 0.113 0.345
Dy: 0.500 0.613 0.155
Dy: 0.500 0.887 0.655
Dy: 0.000 0.387 0.655
Dy: 0.500 0.387 0.845
Dy: 0.000 0.613 0.345
Dy: 0.000 0.113 0.155
Dy: 0.000 0.887 0.845
Sc: 0.500 0.500 0.500
Sc: 0.500 0.000 0.000
Sc: 0.000 0.000 0.500
Sc: 0.000 0.500 0.000

Properties
E, eV per atom: -4.761
Relative energy among the computed polymorphs, meV/atom: 0.0
Symmetry: Cmce (64)
Volume, Å³ per atom: 32.698
Size of the total moment, μB per atom: 0.00
Formation energy, eV/atom: 0.1734
ρ, g cm⁻³: 6.9

***

Record 2
Here is a geometry-optimized Pm3Dy12Sc structure from Alexandria via LeMat-Bulk. Energies are from PBE.

Cell: 5.020 5.020 20.020 Å, 90.00 90.00 90.00°
Sites, in units of the cell vectors:
Dy: 0.500 0.500 0.246
Dy: 0.500 0.000 0.627
Dy: 0.500 0.500 0.754
Dy: 0.500 0.000 0.373
Dy: 0.500 0.000 0.880
Dy: 0.000 0.500 0.373
Dy: 0.500 0.000 0.120
Dy: 0.500 0.500 0.000
Dy: 0.000 0.500 0.880
Dy: 0.500 0.500 0.500
Dy: 0.000 0.500 0.120
Dy: 0.000 0.500 0.627
Pm: 0.000 0.000 0.500
Pm: 0.000 0.000 0.753
Pm: 0.000 0.000 0.247
Sc: 0.000 0.000 0.000

Properties
E, eV per atom: -4.712
Symmetry: P4/mmm (123)
Volume, Å³ per atom: 31.536
Size of the total moment, μB per atom: 0.00
Formation energy, eV/atom: 0.0256
ρ, g cm⁻³: 8.0

***

Record 3
Here is a geometry-optimized Pm2Dy2Sc5 structure from Alexandria via LeMat-Bulk. Energies are from PBE.

Cell: 8.370 10.580 8.903 Å, 126.45 118.04 90.00°
Sites, in units of the cell vectors:
Sc: 0.204 0.678 0.801
Sc: 0.902 0.377 0.199
Sc: 0.009 0.271 0.500
Sc: 0.098 0.178 0.801
Sc: 0.991 0.771 0.500
Sc: 0.436 0.162 0.748
Sc: 0.796 0.877 0.199
Sc: 0.564 0.414 0.252
Sc: 0.812 0.662 0.748
Sc: 0.188 0.914 0.252
Dy: 0.000 0.046 0.000
Dy: 0.500 0.546 0.000
Dy: 0.359 0.423 0.500
Dy: 0.641 0.923 0.500
Pm: 0.224 0.586 0.207
Pm: 0.483 0.086 0.207
Pm: 0.776 0.379 0.793
Pm: 0.517 0.879 0.793

Properties
E, eV per atom: -5.401
Symmetry: Ima2 (46)
Volume, Å³ per atom: 28.591
Size of the total moment, μB per atom: 0.00
Formation energy, eV/atom: 0.1946
ρ, g cm⁻³: 5.4

***

Record 4
Here is a geometry-optimized Pm2Dy5Sc structure from Alexandria via LeMat-Bulk. Energies are from PBE.

Cell: 4.985 7.074 14.159 Å, 90.00 90.00 90.00°
Sites, in units of the cell vectors:
Dy: 0.000 0.500 0.500
Dy: 0.000 0.000 0.000
Dy: 0.000 0.498 0.752
Dy: 0.000 0.998 0.748
Dy: 0.500 0.250 0.376
Dy: 0.000 0.502 0.248
Dy: 0.500 0.750 0.124
Dy: 0.500 0.750 0.624
Dy: 0.000 0.002 0.252
Dy: 0.500 0.250 0.876
Sc: 0.000 0.000 0.500
Sc: 0.000 0.500 0.000
Pm: 0.500 0.247 0.624
Pm: 0.500 0.253 0.124
Pm: 0.500 0.747 0.876
Pm: 0.500 0.753 0.376

Properties
E, eV per atom: -4.824
Relative energy among the computed polymorphs, meV/atom: 0.0
Symmetry: Pbam (55)
Volume, Å³ per atom: 31.206
Size of the total moment, μB per atom: 0.00
Formation energy, eV/atom: 0.0312
ρ, g cm⁻³: 7.6

***

Record 5
Here is a geometry-optimized PmDySc2 structure from Alexandria via LeMat-Bulk. Energies are from PBE.

Cell: 3.448 3.449 10.984 Å, 90.00 90.00 60.01°
Sites, in units of the cell vectors:
Pm: 0.674 0.107 0.420
Sc: 0.007 0.440 0.168
Sc: 0.340 0.773 0.672
Dy: 0.674 0.107 0.920

Properties
E, eV per atom: -5.453
Relative energy among the computed polymorphs, meV/atom: 0.0
Symmetry: P-3m1 (164)
Volume, Å³ per atom: 28.284
Size of the total moment, μB per atom: 0.00
Formation energy, eV/atom: 0.0508
ρ, g cm⁻³: 5.8

***

Record 6
Here is a geometry-optimized Pm11Dy9Sc4 structure from Alexandria via LeMat-Bulk. Energies are from PBE.

Cell: 3.587 15.237 15.237 Å, 113.11 90.00 90.00°
Sites, in units of the cell vectors:
Pm: 0.000 0.000 0.000
Pm: 0.000 0.840 0.160
Pm: 0.000 0.371 0.629
Pm: 0.000 0.954 0.594
Pm: 0.000 0.160 0.840
Pm: 0.000 0.701 0.701
Pm: 0.000 0.046 0.406
Pm: 0.000 0.299 0.299
Pm: 0.000 0.629 0.371
Pm: 0.000 0.594 0.954
Pm: 0.000 0.406 0.046
Dy: 0.500 0.372 0.833
Dy: 0.500 0.927 0.783
Dy: 0.500 0.500 0.500
Dy: 0.500 0.167 0.628
Dy: 0.500 0.073 0.217
Dy: 0.500 0.628 0.167
Dy: 0.500 0.833 0.372
Dy: 0.500 0.783 0.927
Dy: 0.500 0.217 0.073
Sc: 0.500 0.241 0.445
Sc: 0.500 0.555 0.759
Sc: 0.500 0.759 0.555
Sc: 0.500 0.445 0.241

Properties
E, eV per atom: -4.909
Symmetry: Cmmm (65)
Volume, Å³ per atom: 31.918
Size of the total moment, μB per atom: 0.00
Formation energy, eV/atom: 0.0495
ρ, g cm⁻³: 7.0

***

Record 7
Here is a geometry-optimized Pm5Dy2Sc structure from Alexandria via LeMat-Bulk. Energies are from PBE.

Cell: 7.254 7.255 6.791 Å, 105.51 105.51 119.95°
Sites, in units of the cell vectors:
Dy: 0.740 0.327 0.512
Dy: 0.228 0.815 0.488
Pm: 0.238 0.318 0.500
Pm: 0.815 0.234 0.000
Pm: 0.322 0.741 0.000
Pm: 0.738 0.818 0.500
Pm: 0.322 0.234 0.000
Sc: 0.820 0.736 0.000

Properties
E, eV per atom: -4.876
Symmetry: Fmm2 (42)
Volume, Å³ per atom: 32.718
Size of the total moment, μB per atom: 0.00
Formation energy, eV/atom: 0.0349
ρ, g cm⁻³: 6.9

***

Record 8
Here is a geometry-optimized Pm2Dy7Sc2 structure from Alexandria via LeMat-Bulk. Energies are from PBE.

Cell: 10.217 3.568 10.217 Å, 85.50 77.48 94.50°
Sites, in units of the cell vectors:
Dy: 0.787 0.869 0.213
Dy: 0.005 0.676 0.643
Dy: 0.643 0.324 0.005
Dy: 0.357 0.676 0.995
Dy: 0.995 0.324 0.357
Dy: 0.000 0.500 0.000
Dy: 0.213 0.131 0.787
Sc: 0.595 0.352 0.405
Sc: 0.405 0.648 0.595
Pm: 0.323 0.000 0.323
Pm: 0.677 0.000 0.677

Properties
E, eV per atom: -4.573
Relative energy among the computed polymorphs, meV/atom: 192.8
Symmetry: C2/m (12)
Volume, Å³ per atom: 32.787
Size of the total moment, μB per atom: 0.00
Formation energy, eV/atom: 0.3703
ρ, g cm⁻³: 7.0

***

Record 9
Here is a geometry-optimized Pm12Dy5Sc2 structure from Alexandria via LeMat-Bulk. Energies are from PBE.

Cell: 7.424 10.271 9.922 Å, 64.78 90.00 111.19°
Sites, in units of the cell vectors:
Pm: 0.404 0.329 0.503
Pm: 0.913 0.321 0.152
Pm: 0.997 0.995 0.202
Pm: 0.003 0.005 0.798
Pm: 0.596 0.671 0.497
Pm: 0.925 0.329 0.503
Pm: 0.075 0.671 0.497
Pm: 0.493 0.986 0.321
Pm: 0.592 0.679 0.848
Pm: 0.507 0.014 0.679
Pm: 0.087 0.679 0.848
Pm: 0.408 0.321 0.152
Sc: 0.306 0.000 0.000
Sc: 0.694 0.000 0.000
Dy: 0.826 0.652 0.171
Dy: 0.325 0.649 0.190
Dy: 0.675 0.351 0.810
Dy: 0.174 0.348 0.829
Dy: 0.000 0.000 0.500

Properties
E, eV per atom: -4.716
Relative energy among the computed polymorphs, meV/atom: 47.7
Symmetry: C2/m (12)
Volume, Å³ per atom: 33.022
Size of the total moment, μB per atom: 0.00
Formation energy, eV/atom: 0.1623
ρ, g cm⁻³: 7.0

***

Record 10
Here is a geometry-optimized Pm2DySc structure from Alexandria via LeMat-Bulk. Energies are from PBE.

Cell: 5.608 5.608 5.608 Å, 60.00 60.00 60.00°
Sites, in units of the cell vectors:
Sc: 0.500 0.500 0.500
Pm: 0.250 0.250 0.250
Pm: 0.750 0.750 0.750
Dy: 0.000 0.000 0.000

Properties
E, eV per atom: -5.001
Relative energy among the computed polymorphs, meV/atom: 68.7
Symmetry: Fm-3m (225)
Volume, Å³ per atom: 31.172
Size of the total moment, μB per atom: 0.00
Formation energy, eV/atom: 0.1077
ρ, g cm⁻³: 6.6

***

Record 11
Here is a geometry-optimized PmDy5Sc2 structure from Alexandria via LeMat-Bulk. Energies are from PBE.

Cell: 7.024 12.104 11.275 Å, 90.00 90.00 90.00°
Sites, in units of the cell vectors:
Dy: 0.245 0.333 0.249
Dy: 0.245 0.667 0.751
Dy: 0.755 0.667 0.751
Dy: 0.246 0.000 0.000
Dy: 0.755 0.333 0.249
Dy: 0.500 0.247 0.499
Dy: 0.000 0.746 0.001
Dy: 0.245 0.167 0.749
Dy: 0.500 0.753 0.501
Dy: 0.500 0.253 0.999
Dy: 0.000 0.246 0.499
Dy: 0.000 0.254 0.999
Dy: 0.245 0.833 0.251
Dy: 0.000 0.754 0.501
Dy: 0.755 0.833 0.251
Dy: 0.754 0.500 0.500
Dy: 0.755 0.167 0.749
Dy: 0.246 0.500 0.500
Dy: 0.754 0.000 0.000
Dy: 0.500 0.747 0.001
Sc: 0.757 0.500 0.000
Sc: 0.000 0.917 0.746
Sc: 0.000 0.417 0.754
Sc: 0.243 0.500 0.000
Sc: 0.000 0.083 0.254
Sc: 0.757 0.000 0.500
Sc: 0.000 0.583 0.246
Sc: 0.243 0.000 0.500
Pm: 0.500 0.420 0.753
Pm: 0.500 0.920 0.747
Pm: 0.500 0.580 0.247
Pm: 0.500 0.080 0.253

Properties
E, eV per atom: -5.023
Relative energy among the computed polymorphs, meV/atom: 0.0
Symmetry: Pbam (55)
Volume, Å³ per atom: 29.956
Size of the total moment, μB per atom: 0.00
Formation energy, eV/atom: 0.0305
ρ, g cm⁻³: 7.3

***

Record 12
Here is a geometry-optimized PmDy3Sc2 structure from Alexandria via LeMat-Bulk. Energies are from PBE.

Cell: 3.395 9.909 11.458 Å, 107.71 98.52 90.00°
Sites, in units of the cell vectors:
Dy: 0.303 0.292 0.605
Dy: 0.560 0.436 0.121
Dy: 0.067 0.770 0.134
Dy: 0.933 0.230 0.866
Dy: 0.697 0.708 0.395
Dy: 0.440 0.564 0.879
Sc: 0.930 0.859 0.860
Sc: 0.692 0.374 0.384
Sc: 0.308 0.626 0.616
Sc: 0.070 0.141 0.140
Pm: 0.317 0.955 0.635
Pm: 0.683 0.045 0.365

Properties
E, eV per atom: -5.051
Relative energy among the computed polymorphs, meV/atom: 0.0
Symmetry: C2/m (12)
Volume, Å³ per atom: 30.223
Size of the total moment, μB per atom: 0.00
Formation energy, eV/atom: 0.1521
ρ, g cm⁻³: 6.6

***

Look up the E of the third one.
-5.401 eV per atom